1.
Na6Cu3As | PBE | optimized geometry

extended XYZ file:
```
10
Lattice="-3.9915 3.9915 5.3718 3.9915 -3.9915 5.3718 3.9915 3.9915 -5.3718" Properties=species:S:1:pos:R:3 pbc="T T T"
Na 3.9915 1.3698 0.0000
Na 0.0000 0.0000 2.6599
Na 1.3698 3.9915 0.0000
Na 2.6217 0.0000 5.3718
Na 0.0000 0.0000 8.0837
Na 0.0000 2.6217 5.3718
Cu 0.0000 0.0000 0.0000
Cu 3.9915 0.0000 2.6859
Cu 0.0000 3.9915 2.6859
As 0.0000 0.0000 5.3718
```

Energy: -1.96 eV/atom

2.
Er3P2 | PBE | optimized geometry

extended XYZ file:
```
10
Lattice="6.8043 0.0000 0.0000 0.0000 3.9258 0.0000 -0.0093 0.0000 9.2882" Properties=species:S:1:pos:R:3 pbc="T T T"
Er 0.0000 0.0000 0.0000
Er 1.1289 1.9629 6.1600
Er 2.2640 0.0000 3.1282
Er 3.4022 1.9629 0.0000
Er 4.5311 0.0000 6.1600
Er 5.6662 1.9629 3.1282
P 1.1327 1.9629 1.6409
P 2.2603 0.0000 7.6473
P 4.5348 0.0000 1.6409
P 5.6624 1.9629 7.6473
```

Energy: -6.16 eV/atom